Here is crystalline SmDyRhBr at its relaxed geometry from the Alexandria database. Energies are from GGA-PBE.

Unit cell a=4.0218 b=4.0218 c=23.3422 alpha=90.00 beta=90.00 gamma=120.00
Last column: nearest neighbours and their distance in Å.
Space group R3m (No. 160, hexagonal axes)
Asymmetric unit:
Sm: 0.0000 0.0000 0.0000 x3  3 Rh 2.79
Dy: 0.0000 0.0000 0.2050 x3  3 Rh 2.74
Rh: 0.0000 0.0000 0.6007 x3  3 Dy 2.74, 3 Sm 2.79
Br: 0.0000 0.0000 0.7727 x3  3 Dy 3.28, 3 Sm 3.39

Computed properties:
Magnetic moment ... 0.000 μB/cell
Formation energy from raw total energies ... -1.071 eV/atom
V ... 326.9 Å³ per cell
Raw total energy ... -5.658 eV per atom